DFT (PBE-GGA) results for Mg2ZrAg after structural relaxation.

Structure (extended XYZ):
```
8
Lattice="6.0536 0.0000 0.0000 0.0000 10.1246 0.0000 -0.9172 0.0000 2.7328" Properties=species:S:1:pos:R:3 pbc="T T T"
Mg 1.5134 2.5311 0.0000
Mg 1.5134 7.5934 0.0000
Mg 4.5402 2.5311 0.0000
Mg 4.5402 7.5934 0.0000
Zr -0.4586 0.0000 1.3664
Zr 2.5682 5.0623 1.3664
Ag -0.4586 5.0623 1.3664
Ag 2.5682 0.0000 1.3664
```

---

DFT (PBE-GGA) results for Mg3ZrAg2 after structural relaxation.

Structure (extended XYZ):
```
6
Lattice="3.2112 0.0000 0.0000 0.0000 3.2112 0.0000 0.0000 0.0000 11.5369" Properties=species:S:1:pos:R:3 pbc="T T T"
Mg 0.0000 0.0000 0.0000
Mg 0.0000 0.0000 3.5563
Mg 0.0000 0.0000 7.9806
Zr 1.6056 1.6056 5.7684
Ag 1.6056 1.6056 1.7897
Ag 1.6056 1.6056 9.7472
```

---

DFT (PBE-GGA) results for MgZr2Ag after structural relaxation.

Structure (extended XYZ):
```
4
Lattice="3.4598 0.0000 0.0000 0.0000 4.6038 0.0000 0.0000 0.0000 5.2290" Properties=species:S:1:pos:R:3 pbc="T T T"
Mg 0.0000 0.0000 0.0000
Zr 0.0000 2.3019 2.6145
Zr 1.7299 0.0000 2.6145
Ag 1.7299 2.3019 0.0000
```

Properties
Polymorph energy (0 for the lowest one) ... 0.55 eV/f.u.

---

DFT (PBE-GGA) results for MgZrAg after structural relaxation.

Structure (extended XYZ):
```
3
Lattice="4.8548 0.0000 0.0000 -2.4274 4.2044 0.0000 0.0000 0.0000 2.9547" Properties=species:S:1:pos:R:3 pbc="T T T"
Mg 0.0000 0.0000 0.0000
Zr 0.0000 2.8029 1.4773
Ag 2.4274 1.4015 0.0000
```

---

DFT (PBE-GGA) results for Mg5ZrAg4 after structural relaxation.

Structure (extended XYZ):
```
10
Lattice="3.2667 0.0000 0.0000 0.0000 3.2667 0.0000 0.0000 0.0000 18.1006" Properties=species:S:1:pos:R:3 pbc="T T T"
Mg 0.0000 0.0000 0.0000
Mg 0.0000 0.0000 3.4313
Mg 0.0000 0.0000 6.8863
Mg 0.0000 0.0000 11.2144
Mg 0.0000 0.0000 14.6693
Zr 1.6334 1.6334 9.0503
Ag 1.6334 1.6334 1.7163
Ag 1.6334 1.6334 5.1694
Ag 1.6334 1.6334 12.9312
Ag 1.6334 1.6334 16.3843
```

---

DFT (PBE-GGA) results for Mg2ZrAg after structural relaxation.

Structure (extended XYZ):
```
4
Lattice="2.9502 0.0000 0.0000 0.0000 4.6936 0.0000 -1.4483 0.0000 5.9926" Properties=species:S:1:pos:R:3 pbc="T T T"
Mg 0.0000 0.0000 0.0000
Mg 0.0289 2.3468 4.6108
Zr 1.4802 2.3468 1.7234
Ag 0.0058 0.0000 3.0564
```

---

DFT (PBE-GGA) results for Mn2Ag after structural relaxation.

Structure (extended XYZ):
```
12
Lattice="2.7454 0.0000 0.0000 0.0000 4.2543 0.0000 0.0000 0.0000 18.1223" Properties=species:S:1:pos:R:3 pbc="T T T"
Mn 0.0000 1.0636 0.7677
Mn 0.0000 1.0636 3.4089
Mn 0.0000 3.1907 14.7134
Mn 0.0000 3.1907 17.3546
Mn 1.3727 1.0636 5.6523
Mn 1.3727 1.0636 8.2935
Mn 1.3727 3.1907 9.8288
Mn 1.3727 3.1907 12.4700
Ag 0.0000 1.0636 11.0512
Ag 0.0000 3.1907 7.0711
Ag 1.3727 1.0636 16.1322
Ag 1.3727 3.1907 1.9901
```

---

DFT (PBE-GGA) results for Mn2Ag after structural relaxation.

Structure (extended XYZ):
```
12
Lattice="3.4856 0.0000 0.0000 0.0000 3.4856 0.0000 0.0000 0.0000 14.0617" Properties=species:S:1:pos:R:3 pbc="T T T"
Mn 0.0000 0.8714 4.0881
Mn 0.0000 0.8714 6.4582
Mn 0.0000 2.6142 7.6036
Mn 0.0000 2.6142 9.9736
Mn 1.7428 0.8714 0.5727
Mn 1.7428 0.8714 2.9427
Mn 1.7428 2.6142 11.1190
Mn 1.7428 2.6142 13.4890
Ag 0.0000 0.8714 12.3040
Ag 0.0000 2.6142 1.7577
Ag 1.7428 0.8714 8.7886
Ag 1.7428 2.6142 5.2732
```

---

DFT (PBE-GGA) results for Mn2Ag after structural relaxation.

Structure (extended XYZ):
```
9
Lattice="7.7453 0.0000 0.0000 -3.8726 6.7076 0.0000 0.0000 0.0000 2.8327" Properties=species:S:1:pos:R:3 pbc="T T T"
Mn -1.1685 2.0239 0.0000
Mn -2.4558 4.2535 1.4164
Mn 2.3370 0.0000 0.0000
Mn 1.4169 2.4541 1.4164
Mn 4.9115 0.0000 1.4164
Mn 2.7041 4.6837 0.0000
Ag 0.0000 0.0000 1.4164
Ag 0.0000 4.4717 0.0000
Ag 3.8726 2.2359 0.0000
```

---

DFT (PBE-GGA) results for Mn2Ag after structural relaxation.

Structure (extended XYZ):
```
6
Lattice="0.0000 3.4732 3.4732 3.4732 0.0000 3.4732 3.4732 3.4732 0.0000" Properties=species:S:1:pos:R:3 pbc="T T T"
Mn 0.0000 0.0000 0.0000
Mn 1.7366 1.7366 0.0000
Mn 1.7366 0.0000 1.7366
Mn 0.0000 1.7366 1.7366
Ag 2.6049 2.6049 2.6049
Ag 4.3415 4.3415 4.3415
```

---

DFT (PBE-GGA) results for Mn2Ag after structural relaxation.

Structure (extended XYZ):
```
12
Lattice="6.2891 0.0000 0.0000 0.0000 6.2891 0.0000 0.0000 0.0000 6.2891" Properties=species:S:1:pos:R:3 pbc="T T T"
Mn 0.8918 0.8918 0.8918
Mn 0.8918 2.2527 4.0363
Mn 2.2527 4.0363 0.8918
Mn 2.2527 5.3973 4.0363
Mn 4.0363 0.8918 2.2527
Mn 4.0363 2.2527 5.3973
Mn 5.3973 4.0363 2.2527
Mn 5.3973 5.3973 5.3973
Ag 0.0000 0.0000 3.1445
Ag 0.0000 3.1445 0.0000
Ag 3.1445 0.0000 0.0000
Ag 3.1445 3.1445 3.1445
```

---

DFT (PBE-GGA) results for Mn2Ag after structural relaxation.

Structure (extended XYZ):
```
12
Lattice="10.3469 0.0000 0.0000 0.0000 2.8944 0.0000 -1.8617 0.0000 6.4110" Properties=species:S:1:pos:R:3 pbc="T T T"
Mn 0.0000 0.0000 0.0000
Mn -0.5738 0.0000 3.8938
Mn 0.4987 1.4472 6.0015
Mn 3.4497 0.0000 1.6705
Mn 5.1734 1.4472 0.0000
Mn 4.5996 1.4472 3.8938
Mn 5.6721 0.0000 6.0015
Mn 8.6231 1.4472 1.6705
Ag 1.0524 1.4472 2.1002
Ag 2.2434 0.0000 4.3069
Ag 6.2258 0.0000 2.1002
Ag 7.4168 1.4472 4.3069
```

---

Number 1: density of states at the Fermi level 7.02 states/eV/cell, total magnetization 0.000 μB/f.u., energy relative to the elements 21 kJ/mol of formula units. Number 2: density of states at the Fermi level 4.53 states/eV/cell, total magnetization 0.200 μB/f.u., energy relative to the elements -74 kJ/mol of formula units. Number 3: density of states at the Fermi level 4.15 states/eV/cell, total magnetization 0.000 μB/f.u., energy relative to the elements 9 kJ/mol of formula units. Number 4: density of states at the Fermi level 1.66 states/eV/cell, total magnetization 0.000 μB/f.u., energy relative to the elements -4 kJ/mol of formula units. Number 5: density of states at the Fermi level 6.78 states/eV/cell, total magnetization 0.000 μB/f.u., energy relative to the elements -165 kJ/mol of formula units. Number 6: density of states at the Fermi level 1.89 states/eV/cell, total magnetization 0.000 μB/f.u., energy relative to the elements -8 kJ/mol of formula units. Number 7: density of states at the Fermi level 14.88 states/eV/cell, total magnetization 7.630 μB/f.u., energy relative to the elements 204 kJ/mol of formula units. Number 8: density of states at the Fermi level 7.81 states/eV/cell, total magnetization 0.000 μB/f.u., energy relative to the elements 236 kJ/mol of formula units. Number 9: density of states at the Fermi level 7.66 states/eV/cell, total magnetization 7.809 μB/f.u., energy relative to the elements 148 kJ/mol of formula units. Number 10: density of states at the Fermi level 8.91 states/eV/cell, total magnetization 4.339 μB/f.u., energy relative to the elements 143 kJ/mol of formula units. Number 11: density of states at the Fermi level 13.83 states/eV/cell, total magnetization 8.609 μB/f.u., energy relative to the elements 297 kJ/mol of formula units. Number 12: density of states at the Fermi level 8.85 states/eV/cell, total magnetization 7.594 μB/f.u., energy relative to the elements 131 kJ/mol of formula units.